Compound: CaSn5
Source: Alexandria
Functional: PBE
Structure: relaxed

abc: 4.5404 4.8607 7.8708
angles: 107.99 90.00 90.00
Closest atoms and distances in Å follow each position.
Atoms (fractional coordinates):
Sn1 0.0000 0.3379 0.6758  10 Sn 3.32-3.58, 2 Ca 3.43
Sn2 0.5000 0.8299 0.6598  10 Sn 3.33-3.52, 2 Ca 3.41
Sn3 0.0000 0.6621 0.3242  10 Sn 3.32-3.58, 2 Ca 3.43
Sn4 0.5000 0.5000 0.0000  8 Sn 3.32-3.52, 4 Ca 3.33
Sn5 0.5000 0.1701 0.3402  10 Sn 3.33-3.52, 2 Ca 3.41
Ca1 0.0000 0.0000 0.0000  12 Sn 3.33-3.43

Output
E_form: -1.16 eV/f.u.
total magnetization: 0.000 μB per atom